No. 1
Entry from Alexandria: a crystal of KBaNi2 relaxed with PBEsol (SCAN).

```
data_KBaNi2
_chemical_formula_sum 'K1 Ba1 Ni2'
_symmetry_space_group_name_H-M 'P 4/m m m'
_symmetry_Int_Tables_number 123
_symmetry_space_group_name_Hall '-P 4 2'
_cell_length_a 4.0243
_cell_length_b 4.0243
_cell_length_c 7.0602
_cell_angle_alpha 90.00
_cell_angle_beta 90.00
_cell_angle_gamma 90.00
loop_
_atom_site_label
_atom_site_type_symbol
_atom_site_fract_x
_atom_site_fract_y
_atom_site_fract_z
_atom_site_occupancy
K1 K 0.0000 0.0000 0.0000 1
Ba1 Ba 0.0000 0.0000 0.5000 1
Ni1 Ni 0.5000 0.5000 0.3383 1
```

Computed properties:
The formation energy is 231 kJ/mol of formula units.

No. 2
Entry from Alexandria: a crystal of K3BaNi relaxed with PBEsol (SCAN).

```
data_K3BaNi
_chemical_formula_sum 'K3 Ba1 Ni1'
_symmetry_space_group_name_H-M 'P m -3 m'
_symmetry_Int_Tables_number 221
_symmetry_space_group_name_Hall '-P 4 2 3'
_cell_length_a 6.2666
_cell_length_b 6.2666
_cell_length_c 6.2666
_cell_angle_alpha 90.00
_cell_angle_beta 90.00
_cell_angle_gamma 90.00
loop_
_atom_site_label
_atom_site_type_symbol
_atom_site_fract_x
_atom_site_fract_y
_atom_site_fract_z
_atom_site_occupancy
K1 K 0.0000 0.0000 0.5000 1
Ba1 Ba 0.5000 0.5000 0.5000 1
Ni1 Ni 0.0000 0.0000 0.0000 1
```

Computed properties:
The formation energy is 294 kJ/mol of formula units.

No. 3
Entry from Alexandria: a crystal of KBaO3 relaxed with PBEsol (SCAN).

```
data_KBaO3
_chemical_formula_sum 'K1 Ba1 O3'
_symmetry_space_group_name_H-M 'P m -3 m'
_symmetry_Int_Tables_number 221
_symmetry_space_group_name_Hall '-P 4 2 3'
_cell_length_a 4.6058
_cell_length_b 4.6058
_cell_length_c 4.6058
_cell_angle_alpha 90.00
_cell_angle_beta 90.00
_cell_angle_gamma 90.00
loop_
_atom_site_label
_atom_site_type_symbol
_atom_site_fract_x
_atom_site_fract_y
_atom_site_fract_z
_atom_site_occupancy
K1 K 0.0000 0.0000 0.0000 1
Ba1 Ba 0.5000 0.5000 0.5000 1
O1 O 0.0000 0.5000 0.5000 1
```

Computed properties:
For the formation energy from raw total energies, the calculation gives -0.8295 eV per atom.

No. 4
Entry from Alexandria: a crystal of K2BaS12O12 relaxed with PBEsol (SCAN).

```
data_K2BaS12O12
_chemical_formula_sum 'K4 Ba2 S24 O24'
_symmetry_space_group_name_H-M 'P 1 2/c 1'
_symmetry_Int_Tables_number 13
_cell_length_a 11.6466
_cell_length_b 10.8664
_cell_length_c 9.1895
_cell_angle_alpha 90.00
_cell_angle_beta 112.36
_cell_angle_gamma 90.00
loop_
_symmetry_equiv_pos_as_xyz
'x,y,z'
'-x,-y,-z'
'-x,y,-z+1/2'
'x,-y,z+1/2'
loop_
_atom_site_label
_atom_site_type_symbol
_atom_site_fract_x
_atom_site_fract_y
_atom_site_fract_z
_atom_site_occupancy
K1 K 0.0000 0.0000 0.0000 1
K2 K 0.5000 0.4460 0.2500 1
Ba1 Ba 0.5000 0.0136 0.2500 1
S1 S 0.1019 0.3521 0.9467 1
S2 S 0.1522 0.4216 0.1723 1
S3 S 0.1653 0.2862 0.3300 1
S4 S 0.2482 0.1073 0.9243 1
S5 S 0.2543 0.3028 0.9040 1
S6 S 0.3629 0.2743 0.4551 1
O1 O 0.1382 0.0649 0.7946 1
O2 O 0.2447 0.0794 0.0785 1
O3 O 0.3679 0.0729 0.9162 1
O4 O 0.3686 0.1881 0.5795 1
O5 O 0.4029 0.3996 0.5070 1
O6 O 0.4172 0.2294 0.3450 1
```

Computed properties:
For the formation energy from raw total energies, the calculation gives -1.3560 eV per atom.

No. 5
Entry from Alexandria: a crystal of K4BaTi6S20O relaxed with PBEsol (SCAN).

```
data_K4BaTi6S20O
_chemical_formula_sum 'K8 Ba2 Ti12 S40 O2'
_symmetry_space_group_name_H-M 'P 63 2 2'
_symmetry_Int_Tables_number 182
_symmetry_space_group_name_Hall 'P 6c 2c'
_cell_length_a 9.2419
_cell_length_b 9.2419
_cell_length_c 18.2963
_cell_angle_alpha 90.00
_cell_angle_beta 90.00
_cell_angle_gamma 120.00
loop_
_atom_site_label
_atom_site_type_symbol
_atom_site_fract_x
_atom_site_fract_y
_atom_site_fract_z
_atom_site_occupancy
K1 K 0.0000 0.3420 0.0000 1
K2 K 0.3333 0.6667 0.2500 1
Ba1 Ba 0.0000 0.0000 0.2500 1
Ti1 Ti 0.1328 0.4662 0.6787 1
S1 S 0.0184 0.2218 0.6059 1
S2 S 0.0296 0.3618 0.7970 1
S3 S 0.1127 0.4609 0.3921 1
S4 S 0.3333 0.6667 0.5902 1
O1 O 0.3333 0.6667 0.7500 1
```

Computed properties:
For the formation energy from raw total energies, the calculation gives -1.4195 eV per atom.

No. 6
Entry from Alexandria: a crystal of K4BaTi6S20O relaxed with PBEsol (SCAN).

```
data_K4BaTi6S20O
_chemical_formula_sum 'K32 Ba8 Ti48 S160 O8'
_symmetry_space_group_name_H-M 'F d d 2'
_symmetry_Int_Tables_number 43
_symmetry_space_group_name_Hall 'F 2 -2d'
_cell_length_a 11.0837
_cell_length_b 15.2433
_cell_length_c 31.9456
_cell_angle_alpha 90.00
_cell_angle_beta 90.00
_cell_angle_gamma 90.00
loop_
_atom_site_label
_atom_site_type_symbol
_atom_site_fract_x
_atom_site_fract_y
_atom_site_fract_z
_atom_site_occupancy
K1 K 0.0000 0.0000 0.0000 1
K2 K 0.0000 0.0000 0.1630 1
K3 K 0.0000 0.0000 0.3310 1
K4 K 0.0000 0.0000 0.5010 1
Ba1 Ba 0.0000 0.0000 0.6640 1
Ti1 Ti 0.0012 0.3508 0.3316 1
Ti2 Ti 0.1068 0.2494 0.1320 1
Ti3 Ti 0.1065 0.2507 0.0319 1
S1 S 0.9997 0.2109 0.3638 1
S2 S 0.0020 0.2125 0.2992 1
S3 S 0.0122 0.1091 0.9077 1
S4 S 0.0115 0.3014 0.9699 1
S5 S 0.0121 0.3925 0.2553 1
S6 S 0.0142 0.2008 0.1939 1
S7 S 0.0373 0.1364 0.0848 1
S8 S 0.0380 0.3661 0.0793 1
S9 S 0.0785 0.2943 0.5028 1
S10 S 0.0819 0.2072 0.6607 1
O1 O 0.0000 0.0000 0.8318 1
```

Computed properties:
For the formation energy from raw total energies, the calculation gives -1.4209 eV per atom.

No. 7
Entry from Alexandria: a crystal of K4BaTa6Si4O26 relaxed with PBEsol (SCAN).

```
data_K4BaTa6Si4O26
_chemical_formula_sum 'K8 Ba2 Ta12 Si8 O52'
_symmetry_space_group_name_H-M 'A m m 2'
_symmetry_Int_Tables_number 38
_cell_length_a 7.7711
_cell_length_b 15.6821
_cell_length_c 9.1265
_cell_angle_alpha 90.00
_cell_angle_beta 90.00
_cell_angle_gamma 90.00
loop_
_symmetry_equiv_pos_as_xyz
'x,y,z'
'-x,-y,z'
'-x,y,z'
'x,-y,z'
'x,y+1/2,z+1/2'
'-x,-y+1/2,z+1/2'
'-x,y+1/2,z+1/2'
'x,-y+1/2,z+1/2'
loop_
_atom_site_label
_atom_site_type_symbol
_atom_site_fract_x
_atom_site_fract_y
_atom_site_fract_z
_atom_site_occupancy
K1 K 0.0000 0.1990 0.0000 1
K2 K 0.5000 0.2005 0.9966 1
Ba1 Ba 0.5000 0.0000 0.5905 1
Ta1 Ta 0.2477 0.1198 0.3155 1
Ta2 Ta 0.2494 0.0000 0.9618 1
Si1 Si 0.2103 0.1638 0.6969 1
O1 O 0.0000 0.0000 0.9268 1
O2 O 0.0000 0.1401 0.3364 1
O3 O 0.0000 0.1639 0.6986 1
O4 O 0.2293 0.0896 0.1093 1
O5 O 0.2352 0.0000 0.3716 1
O6 O 0.2722 0.2443 0.2601 1
O7 O 0.2808 0.1507 0.5315 1
O8 O 0.2835 0.0889 0.8019 1
O9 O 0.5000 0.0000 0.9770 1
O10 O 0.5000 0.1136 0.3138 1
```

Computed properties:
For the formation energy from raw total energies, the calculation gives -3.0409 eV per atom.

No. 8
Entry from Alexandria: a crystal of K2BaOs relaxed with PBEsol (SCAN).

```
data_K2BaOs
_chemical_formula_sum 'K6 Ba3 Os3'
_symmetry_space_group_name_H-M 'R -3 m'
_symmetry_Int_Tables_number 166
_symmetry_space_group_name_Hall '-R 3 2"'
_cell_length_a 3.2240
_cell_length_b 3.2240
_cell_length_c 39.6653
_cell_angle_alpha 90.00
_cell_angle_beta 90.00
_cell_angle_gamma 120.00
loop_
_atom_site_label
_atom_site_type_symbol
_atom_site_fract_x
_atom_site_fract_y
_atom_site_fract_z
_atom_site_occupancy
K1 K 0.0000 0.0000 0.2326 1
Ba1 Ba 0.0000 0.0000 0.0000 1
Os1 Os 0.0000 0.0000 0.5000 1
```

Computed properties:
The formation energy is 565 kJ/mol of formula units.

No. 9
Entry from Alexandria: a crystal of K2BaOs relaxed with PBEsol (SCAN).

```
data_K2BaOs
_chemical_formula_sum 'K2 Ba1 Os1'
_symmetry_space_group_name_H-M 'P 4/m m m'
_symmetry_Int_Tables_number 123
_symmetry_space_group_name_Hall '-P 4 2'
_cell_length_a 4.6652
_cell_length_b 4.6652
_cell_length_c 5.9574
_cell_angle_alpha 90.00
_cell_angle_beta 90.00
_cell_angle_gamma 90.00
loop_
_atom_site_label
_atom_site_type_symbol
_atom_site_fract_x
_atom_site_fract_y
_atom_site_fract_z
_atom_site_occupancy
K1 K 0.0000 0.5000 0.0000 1
Ba1 Ba 0.0000 0.0000 0.5000 1
Os1 Os 0.5000 0.5000 0.5000 1
```

Computed properties:
The formation energy is 431 kJ/mol of formula units.

No. 10
Entry from Alexandria: a crystal of K2Ba2Os relaxed with PBEsol (SCAN).

```
data_K2Ba2Os
_chemical_formula_sum 'K4 Ba4 Os2'
_symmetry_space_group_name_H-M 'I 4/m m m'
_symmetry_Int_Tables_number 139
_symmetry_space_group_name_Hall '-I 4 2'
_cell_length_a 6.3911
_cell_length_b 6.3911
_cell_length_c 8.4964
_cell_angle_alpha 90.00
_cell_angle_beta 90.00
_cell_angle_gamma 90.00
loop_
_atom_site_label
_atom_site_type_symbol
_atom_site_fract_x
_atom_site_fract_y
_atom_site_fract_z
_atom_site_occupancy
K1 K 0.0000 0.0000 0.1609 1
Ba1 Ba 0.0000 0.5000 0.2500 1
Os1 Os 0.0000 0.0000 0.5000 1
```

Computed properties:
The formation energy is 588 kJ/mol of formula units.

No. 11
Entry from Alexandria: a crystal of KBa2P relaxed with PBEsol (SCAN).

```
data_KBa2P
_chemical_formula_sum 'K4 Ba8 P4'
_symmetry_space_group_name_H-M 'F -4 3 m'
_symmetry_Int_Tables_number 216
_symmetry_space_group_name_Hall 'F -4 2 3'
_cell_length_a 7.9960
_cell_length_b 7.9960
_cell_length_c 7.9960
_cell_angle_alpha 90.00
_cell_angle_beta 90.00
_cell_angle_gamma 90.00
loop_
_atom_site_label
_atom_site_type_symbol
_atom_site_fract_x
_atom_site_fract_y
_atom_site_fract_z
_atom_site_occupancy
K1 K 0.0000 0.0000 0.0000 1
Ba1 Ba 0.0000 0.0000 0.5000 1
Ba2 Ba 0.2500 0.2500 0.2500 1
P1 P 0.2500 0.2500 0.7500 1
```

Computed properties:
The formation energy is 11 kJ/mol of formula units.

No. 12
Entry from Alexandria: a crystal of K2BaP relaxed with PBEsol (SCAN).

```
data_K2BaP
_chemical_formula_sum 'K2 Ba1 P1'
_symmetry_space_group_name_H-M 'P 4/m m m'
_symmetry_Int_Tables_number 123
_symmetry_space_group_name_Hall '-P 4 2'
_cell_length_a 4.6933
_cell_length_b 4.6933
_cell_length_c 6.8455
_cell_angle_alpha 90.00
_cell_angle_beta 90.00
_cell_angle_gamma 90.00
loop_
_atom_site_label
_atom_site_type_symbol
_atom_site_fract_x
_atom_site_fract_y
_atom_site_fract_z
_atom_site_occupancy
K1 K 0.0000 0.0000 0.2015 1
Ba1 Ba 0.5000 0.5000 0.5000 1
P1 P 0.5000 0.5000 0.0000 1
```

Computed properties:
The formation energy is -17 kJ/mol of formula units.